# 1
{
  "formula": "LiAlCoRe",
  "functional": "PBE",
  "state": "relaxed",
  "lattice_angstrom": [[0.000, 2.911, 2.911], [2.911, 0.000, 2.911], [2.911, 2.911, 0.000]],
  "species": ["Li", "Al", "Co", "Re"],
  "fractional_positions": [[0.000, 0.000, 0.000], [0.250, 0.250, 0.250], [0.500, 0.500, 0.500], [0.750, 0.750, 0.750]],
  "vol_a3_per_atom": 12.330,
  "m_tot_mub_per_cell": 1.95,
  "final_energy_ev_per_atom": -6.273
}

---

# 2
{
  "formula": "LiAlCoRe",
  "functional": "PBE",
  "state": "relaxed",
  "lattice_angstrom": [[0.000, 2.945, 2.945], [2.945, 0.000, 2.945], [2.945, 2.945, 0.000]],
  "species": ["Li", "Al", "Co", "Re"],
  "fractional_positions": [[0.000, 0.000, 0.000], [0.500, 0.500, 0.500], [0.750, 0.750, 0.750], [0.250, 0.250, 0.250]],
  "vol_a3_per_atom": 12.767,
  "m_tot_mub_per_cell": 2.38,
  "final_energy_ev_per_atom": -6.021
}

---

# 3
{
  "formula": "LiTaAlCo",
  "functional": "PBE",
  "state": "relaxed",
  "lattice_angstrom": [[0.000, 3.012, 3.012], [3.012, 0.000, 3.012], [3.012, 3.012, 0.000]],
  "species": ["Li", "Ta", "Al", "Co"],
  "fractional_positions": [[0.000, 0.000, 0.000], [0.250, 0.250, 0.250], [0.500, 0.500, 0.500], [0.750, 0.750, 0.750]],
  "vol_a3_per_atom": 13.662,
  "m_tot_mub_per_cell": 0.16,
  "final_energy_ev_per_atom": -5.918
}

---

# 4
{
  "formula": "LiTaAlCo",
  "functional": "PBE",
  "state": "relaxed",
  "lattice_angstrom": [[0.000, 2.970, 2.970], [2.970, 0.000, 2.970], [2.970, 2.970, 0.000]],
  "species": ["Li", "Ta", "Al", "Co"],
  "fractional_positions": [[0.000, 0.000, 0.000], [0.750, 0.750, 0.750], [0.250, 0.250, 0.250], [0.500, 0.500, 0.500]],
  "vol_a3_per_atom": 13.097,
  "m_tot_mub_per_cell": 0.00,
  "final_energy_ev_per_atom": -6.488
}

---

# 5
{
  "formula": "LiTaAlCo",
  "functional": "PBE",
  "state": "relaxed",
  "lattice_angstrom": [[0.000, 3.022, 3.022], [3.022, 0.000, 3.022], [3.022, 3.022, 0.000]],
  "species": ["Li", "Ta", "Al", "Co"],
  "fractional_positions": [[0.000, 0.000, 0.000], [0.500, 0.500, 0.500], [0.250, 0.250, 0.250], [0.750, 0.750, 0.750]],
  "vol_a3_per_atom": 13.796,
  "m_tot_mub_per_cell": 0.00,
  "final_energy_ev_per_atom": -6.203
}

---

# 6
{
  "formula": "LiTaAlCo",
  "functional": "PBE",
  "state": "relaxed",
  "lattice_angstrom": [[0.000, 2.963, 2.963], [2.963, 0.000, 2.963], [2.963, 2.963, 0.000]],
  "species": ["Li", "Ta", "Al", "Co"],
  "fractional_positions": [[0.000, 0.000, 0.000], [0.750, 0.750, 0.750], [0.250, 0.250, 0.250], [0.500, 0.500, 0.500]],
  "vol_a3_per_atom": 13.003,
  "m_tot_mub_per_cell": 0.01,
  "final_energy_ev_per_atom": -6.487
}

---

# 7
{
  "formula": "LiYAlCo",
  "functional": "PBE",
  "state": "relaxed",
  "lattice_angstrom": [[0.000, 3.242, 3.242], [3.242, 0.000, 3.242], [3.242, 3.242, 0.000]],
  "species": ["Li", "Y", "Al", "Co"],
  "fractional_positions": [[0.000, 0.000, 0.000], [0.250, 0.250, 0.250], [0.500, 0.500, 0.500], [0.750, 0.750, 0.750]],
  "vol_a3_per_atom": 17.035,
  "m_tot_mub_per_cell": 0.04,
  "final_energy_ev_per_atom": -4.779
}

---

# 8
{
  "formula": "LiYAlCo",
  "functional": "PBE",
  "state": "relaxed",
  "lattice_angstrom": [[0.000, 3.194, 3.194], [3.194, 0.000, 3.194], [3.194, 3.194, 0.000]],
  "species": ["Li", "Y", "Al", "Co"],
  "fractional_positions": [[0.000, 0.000, 0.000], [0.750, 0.750, 0.750], [0.250, 0.250, 0.250], [0.500, 0.500, 0.500]],
  "vol_a3_per_atom": 16.296,
  "m_tot_mub_per_cell": 0.00,
  "final_energy_ev_per_atom": -5.014
}

---

# 9
{
  "formula": "Lu2Al3Co",
  "functional": "PBE",
  "state": "relaxed",
  "lattice_angstrom": [[5.412, 0.000, 0.000], [-2.706, 4.687, 0.000], [0.000, 0.000, 8.464]],
  "species": ["Lu", "Lu", "Lu", "Lu", "Al", "Al", "Al", "Al", "Al", "Al", "Co", "Co"],
  "fractional_positions": [[0.333, 0.667, 0.055], [0.333, 0.667, 0.445], [0.667, 0.333, 0.555], [0.667, 0.333, 0.945], [0.163, 0.325, 0.750], [0.163, 0.837, 0.750], [0.325, 0.163, 0.250], [0.675, 0.837, 0.750], [0.837, 0.163, 0.250], [0.837, 0.675, 0.250], [0.000, 0.000, 0.000], [0.000, 0.000, 0.500]],
  "vol_a3_per_atom": 17.889,
  "m_tot_mub_per_cell": 0.01,
  "final_energy_ev_per_atom": -5.069
}

---

# 10
{
  "formula": "LuAlCo2",
  "functional": "PBE",
  "state": "relaxed",
  "lattice_angstrom": [[0.000, 3.111, 3.111], [3.111, 0.000, 3.111], [3.111, 3.111, 0.000]],
  "species": ["Lu", "Al", "Co", "Co"],
  "fractional_positions": [[0.000, 0.000, 0.000], [0.750, 0.750, 0.750], [0.250, 0.250, 0.250], [0.500, 0.500, 0.500]],
  "vol_a3_per_atom": 15.048,
  "m_tot_mub_per_cell": 2.92,
  "final_energy_ev_per_atom": -5.584
}

---

# 11
{
  "formula": "LuMgAlCo",
  "functional": "PBE",
  "state": "relaxed",
  "lattice_angstrom": [[0.000, 3.252, 3.252], [3.252, 0.000, 3.252], [3.252, 3.252, 0.000]],
  "species": ["Lu", "Mg", "Al", "Co"],
  "fractional_positions": [[0.000, 0.000, 0.000], [0.750, 0.750, 0.750], [0.250, 0.250, 0.250], [0.500, 0.500, 0.500]],
  "vol_a3_per_atom": 17.190,
  "m_tot_mub_per_cell": 0.01,
  "final_energy_ev_per_atom": -4.266
}

---

# 12
{
  "formula": "LuMgAlCo",
  "functional": "PBE",
  "state": "relaxed",
  "lattice_angstrom": [[0.000, 3.249, 3.249], [3.249, 0.000, 3.249], [3.249, 3.249, 0.000]],
  "species": ["Lu", "Mg", "Al", "Co"],
  "fractional_positions": [[0.000, 0.000, 0.000], [0.250, 0.250, 0.250], [0.500, 0.500, 0.500], [0.750, 0.750, 0.750]],
  "vol_a3_per_atom": 17.152,
  "m_tot_mub_per_cell": 0.07,
  "final_energy_ev_per_atom": -4.349
}

---

# 13
{
  "formula": "LuAlCoMo",
  "functional": "PBE",
  "state": "relaxed",
  "lattice_angstrom": [[0.000, 3.222, 3.222], [3.222, 0.000, 3.222], [3.222, 3.222, 0.000]],
  "species": ["Lu", "Al", "Co", "Mo"],
  "fractional_positions": [[0.000, 0.000, 0.000], [0.250, 0.250, 0.250], [0.500, 0.500, 0.500], [0.750, 0.750, 0.750]],
  "vol_a3_per_atom": 16.719,
  "m_tot_mub_per_cell": 3.00,
  "final_energy_ev_per_atom": -6.292
}

---

# 14
{
  "formula": "LuAlCoMo",
  "functional": "PBE",
  "state": "relaxed",
  "lattice_angstrom": [[0.000, 3.184, 3.184], [3.184, 0.000, 3.184], [3.184, 3.184, 0.000]],
  "species": ["Lu", "Al", "Co", "Mo"],
  "fractional_positions": [[0.000, 0.000, 0.000], [0.500, 0.500, 0.500], [0.750, 0.750, 0.750], [0.250, 0.250, 0.250]],
  "vol_a3_per_atom": 16.141,
  "m_tot_mub_per_cell": 1.68,
  "final_energy_ev_per_atom": -6.464
}

---

# 15
{
  "formula": "LuNbAlCo",
  "functional": "PBE",
  "state": "relaxed",
  "lattice_angstrom": [[0.000, 3.231, 3.231], [3.231, 0.000, 3.231], [3.231, 3.231, 0.000]],
  "species": ["Lu", "Nb", "Al", "Co"],
  "fractional_positions": [[0.000, 0.000, 0.000], [0.250, 0.250, 0.250], [0.500, 0.500, 0.500], [0.750, 0.750, 0.750]],
  "vol_a3_per_atom": 16.866,
  "m_tot_mub_per_cell": 2.03,
  "final_energy_ev_per_atom": -6.277
}

---

# 16
{
  "formula": "LuAlCoPt",
  "functional": "PBE",
  "state": "relaxed",
  "lattice_angstrom": [[0.000, 3.230, 3.230], [3.230, 0.000, 3.230], [3.230, 3.230, 0.000]],
  "species": ["Lu", "Al", "Co", "Pt"],
  "fractional_positions": [[0.000, 0.000, 0.000], [0.250, 0.250, 0.250], [0.500, 0.500, 0.500], [0.750, 0.750, 0.750]],
  "vol_a3_per_atom": 16.850,
  "m_tot_mub_per_cell": 1.48,
  "final_energy_ev_per_atom": -5.695
}

---

# 17
{
  "formula": "LuAlCoPt",
  "functional": "PBE",
  "state": "relaxed",
  "lattice_angstrom": [[0.000, 3.176, 3.176], [3.176, 0.000, 3.176], [3.176, 3.176, 0.000]],
  "species": ["Lu", "Al", "Co", "Pt"],
  "fractional_positions": [[0.000, 0.000, 0.000], [0.500, 0.500, 0.500], [0.750, 0.750, 0.750], [0.250, 0.250, 0.250]],
  "vol_a3_per_atom": 16.016,
  "m_tot_mub_per_cell": 1.00,
  "final_energy_ev_per_atom": -6.091
}

---

# 18
{
  "formula": "LuScAlCo",
  "functional": "PBE",
  "state": "relaxed",
  "lattice_angstrom": [[0.000, 3.259, 3.259], [3.259, 0.000, 3.259], [3.259, 3.259, 0.000]],
  "species": ["Lu", "Sc", "Al", "Co"],
  "fractional_positions": [[0.000, 0.000, 0.000], [0.250, 0.250, 0.250], [0.500, 0.500, 0.500], [0.750, 0.750, 0.750]],
  "vol_a3_per_atom": 17.311,
  "m_tot_mub_per_cell": 0.00,
  "final_energy_ev_per_atom": -5.635
}

---

# 19
{
  "formula": "LuAlCoTc",
  "functional": "PBE",
  "state": "relaxed",
  "lattice_angstrom": [[0.000, 3.138, 3.138], [3.138, 0.000, 3.138], [3.138, 3.138, 0.000]],
  "species": ["Lu", "Al", "Co", "Tc"],
  "fractional_positions": [[0.000, 0.000, 0.000], [0.500, 0.500, 0.500], [0.750, 0.750, 0.750], [0.250, 0.250, 0.250]],
  "vol_a3_per_atom": 15.452,
  "m_tot_mub_per_cell": 0.01,
  "final_energy_ev_per_atom": -6.608
}

---

# 20
{
  "formula": "LuAlCoTc",
  "functional": "PBE",
  "state": "relaxed",
  "lattice_angstrom": [[0.000, 3.197, 3.197], [3.197, 0.000, 3.197], [3.197, 3.197, 0.000]],
  "species": ["Lu", "Al", "Co", "Tc"],
  "fractional_positions": [[0.000, 0.000, 0.000], [0.250, 0.250, 0.250], [0.500, 0.500, 0.500], [0.750, 0.750, 0.750]],
  "vol_a3_per_atom": 16.342,
  "m_tot_mub_per_cell": 2.71,
  "final_energy_ev_per_atom": -6.289
}